A) # BaLaSb2 PBE relaxed
data_BaLaSb2
_chemical_formula_sum 'Ba3 La3 Sb6'
_space_group_name_H-M_alt 'R 3 m'
_space_group_IT_number 160
_space_group_name_Hall 'R 3 -2"'
_cell_length_a 4.6713
_cell_length_b 4.6713
_cell_length_c 25.2795
_cell_angle_alpha 90.00
_cell_angle_beta 90.00
_cell_angle_gamma 120.00
loop_
_atom_site_label
_atom_site_fract_x
_atom_site_fract_y
_atom_site_fract_z
Ba1 0.0000 0.0000 0.0000
La1 0.0000 0.0000 0.1717
Sb1 0.0000 0.0000 0.5769
Sb2 0.0000 0.0000 0.7623
# D(E_F): 11.11 states/eV per cell

=====

B) # BaLaSb2 PBE relaxed
data_BaLaSb2
_chemical_formula_sum 'Ba2 La2 Sb4'
_space_group_name_H-M_alt 'C m m m'
_space_group_IT_number 65
_space_group_name_Hall '-C 2 2'
_cell_length_a 7.3326
_cell_length_b 8.5784
_cell_length_c 4.2843
_cell_angle_alpha 90.00
_cell_angle_beta 90.00
_cell_angle_gamma 90.00
loop_
_atom_site_label
_atom_site_fract_x
_atom_site_fract_y
_atom_site_fract_z
Ba1 0.0000 0.0000 0.0000
La1 0.0000 0.5000 0.0000
Sb1 0.2500 0.2500 0.5000
# D(E_F): 3.59 states/eV per cell

=====

C) # BaLaSb2 PBE relaxed
data_BaLaSb2
_chemical_formula_sum 'Ba2 La2 Sb4'
_space_group_name_H-M_alt 'C 1 m 1'
_space_group_IT_number 8
_space_group_name_Hall 'C -2y'
_cell_length_a 12.7692
_cell_length_b 4.7964
_cell_length_c 4.7987
_cell_angle_alpha 90.00
_cell_angle_beta 112.00
_cell_angle_gamma 90.00
loop_
_atom_site_label
_atom_site_fract_x
_atom_site_fract_y
_atom_site_fract_z
Ba1 0.0000 0.0000 0.0000
La1 0.2499 0.0000 0.7515
Sb1 0.0003 0.5000 0.4998
Sb2 0.2501 0.5000 0.2528
# D(E_F): 3.68 states/eV per cell

=====

D) # BaLaSb2 PBE relaxed
data_BaLaSb2
_chemical_formula_sum 'Ba4 La4 Sb8'
_space_group_name_H-M_alt 'F m -3 m'
_space_group_IT_number 225
_space_group_name_Hall '-F 4 2 3'
_cell_length_a 8.1960
_cell_length_b 8.1960
_cell_length_c 8.1960
_cell_angle_alpha 90.00
_cell_angle_beta 90.00
_cell_angle_gamma 90.00
loop_
_atom_site_label
_atom_site_fract_x
_atom_site_fract_y
_atom_site_fract_z
Ba1 0.0000 0.0000 0.0000
La1 0.0000 0.0000 0.5000
Sb1 0.2500 0.2500 0.2500
# D(E_F): 22.06 states/eV per cell

=====

The winner here is A), beating the second structure by 62 meV per atom.